--- P ---
The following is a DFT calculation (GGA-PBE) of a relaxed LiPmBi3 crystal.

Cell lengths 13.919, 6.317, 6.565 Å; angles 90.00, 90.00, 90.00 degrees
Space group Pbcm (No. 57)
Symmetry-distinct sites (fractional):
1 Li 0.111 0.250 0.000 (multiplicity 4)
2 Pm 0.314 0.512 0.250 (multiplicity 4)
3 Bi 0.076 0.702 0.250 (multiplicity 4)
4 Bi 0.256 0.004 0.250 (multiplicity 4)
5 Bi 0.496 0.250 0.000 (multiplicity 4)

Calculated values
mass density: 8.96 g/cm3
D(E_F): 0.28 states/eV/atom

--- Q ---
The following is a DFT calculation (GGA-PBE) of a relaxed LiPmBi3 crystal.

Cell lengths 5.254, 5.254, 5.254 Å; angles 90.00, 90.00, 90.00 degrees
Space group Pm-3m (No. 221)
Symmetry-distinct sites (fractional):
1 Li 0.000 0.000 0.000 (multiplicity 1)
2 Pm 0.500 0.500 0.500 (multiplicity 1)
3 Bi 0.000 0.000 0.500 (multiplicity 3)

Calculated values
mass density: 8.92 g/cm3
D(E_F): 0.52 states/eV/atom

Going by the energies, P is most stable and the next is 34.2 kJ/mol of atoms up.

--- P ---
The following is a DFT calculation (GGA-PBE) of a relaxed LiPrBi crystal.

Cell lengths 3.791, 3.791, 11.476 Å; angles 90.00, 90.00, 90.00 degrees
Space group I4mm (No. 107)
Symmetry-distinct sites (fractional):
1 Li 0.000 0.000 0.000 (multiplicity 2)
2 Pr 0.000 0.000 0.303 (multiplicity 2)
3 Bi 0.000 0.000 0.607 (multiplicity 2)

Calculated values
mass density: 7.18 g/cm3
D(E_F): 0.87 states/eV/atom

--- Q ---
The following is a DFT calculation (GGA-PBE) of a relaxed LiPrBi crystal.

Cell lengths 4.6321, 4.6321, 4.3475 Å; angles 90.00, 90.00, 120.00 degrees
Space group P-6m2 (No. 187)
Symmetry-distinct sites (fractional):
1 Li 0.0000 0.0000 0.0000 (multiplicity 1)
2 Pr 0.6667 0.3333 0.5000 (multiplicity 1)
3 Bi 0.3333 0.6667 0.0000 (multiplicity 1)

Calculated values
mass density: 7.33 g/cm3
D(E_F): 0.47 states/eV/atom

Going by the energies, Q is most stable and the next is 30.6 kJ/mol of atoms up.

--- P ---
The following is a DFT calculation (GGA-PBE) of a relaxed LiPrBi crystal.

Cell lengths 6.533, 6.260, 8.609 Å; angles 90.00, 111.30, 90.00 degrees
Space group P2_1/c (No. 14)
Symmetry-distinct sites (fractional):
1 Li 0.082 0.095 0.205 (multiplicity 4)
2 Pr 0.317 0.638 0.138 (multiplicity 4)
3 Bi 0.271 0.161 0.975 (multiplicity 4)

Calculated values
mass density: 7.22 g/cm3
D(E_F): 0.74 states/eV/atom

--- Q ---
The following is a DFT calculation (GGA-PBE) of a relaxed LiPrBi crystal.

Cell lengths 4.550, 4.550, 7.844 Å; angles 90.00, 90.00, 90.00 degrees
Space group P4/nmm (No. 129, origin choice 2)
Symmetry-distinct sites (fractional):
1 Li 0.250 0.750 0.000 (multiplicity 2)
2 Pr 0.250 0.250 0.345 (multiplicity 2)
3 Bi 0.250 0.250 0.770 (multiplicity 2)

Calculated values
mass density: 7.30 g/cm3
D(E_F): 0.60 states/eV/atom

--- R ---
The following is a DFT calculation (GGA-PBE) of a relaxed LiPrBi crystal.

Cell lengths 6.854, 6.854, 6.854 Å; angles 90.00, 90.00, 90.00 degrees
Space group F-43m (No. 216)
Symmetry-distinct sites (fractional):
1 Li 0.000 0.000 0.000 (multiplicity 4)
2 Pr 0.250 0.250 0.750 (multiplicity 4)
3 Bi 0.250 0.250 0.250 (multiplicity 4)

Calculated values
mass density: 7.36 g/cm3
D(E_F): 0.34 states/eV/atom

Going by the energies, Q is most stable and the next is 13.1 kJ/mol of atoms up.

--- P ---
The following is a DFT calculation (GGA-PBE) of a relaxed LiBiPt crystal.

Cell lengths 6.386, 6.386, 6.386 Å; angles 90.00, 90.00, 90.00 degrees
Space group F-43m (No. 216)
Symmetry-distinct sites (fractional):
1 Li 0.000 0.000 0.000 (multiplicity 4)
2 Bi 0.000 0.000 0.500 (multiplicity 4)
3 Pt 0.250 0.250 0.750 (multiplicity 4)

Calculated values
mass density: 10.48 g/cm3
D(E_F): 0.50 states/eV/atom

--- Q ---
The following is a DFT calculation (GGA-PBE) of a relaxed LiBiPt crystal.

Cell lengths 9.041, 4.417, 6.265 Å; angles 90.00, 90.00, 90.00 degrees
Space group Pnma (No. 62)
Symmetry-distinct sites (fractional):
1 Li 0.157 0.250 0.212 (multiplicity 4)
2 Bi 0.116 0.250 0.695 (multiplicity 4)
3 Pt 0.104 0.750 0.965 (multiplicity 4)

Calculated values
mass density: 10.91 g/cm3
D(E_F): 0.39 states/eV/atom

--- R ---
The following is a DFT calculation (GGA-PBE) of a relaxed LiBiPt crystal.

Cell lengths 4.4836, 4.4836, 3.3030 Å; angles 90.00, 90.00, 120.00 degrees
Space group P3m1 (No. 156)
Symmetry-distinct sites (fractional):
1 Li 0.0000 0.0000 0.0000 (multiplicity 1)
2 Bi 0.3333 0.6667 0.4987 (multiplicity 1)
3 Pt 0.6667 0.3333 0.9965 (multiplicity 1)

Calculated values
mass density: 11.87 g/cm3
D(E_F): 0.37 states/eV/atom

Going by the energies, P is most stable and the next is 0.8 kJ/mol of atoms up.

--- P ---
The following is a DFT calculation (GGA-PBE) of a relaxed LiPuBi2 crystal.

Cell lengths 4.983, 4.983, 4.343 Å; angles 90.00, 90.00, 90.00 degrees
Space group P4/mmm (No. 123)
Symmetry-distinct sites (fractional):
1 Li 0.000 0.000 0.000 (multiplicity 1)
2 Pu 0.500 0.500 0.000 (multiplicity 1)
3 Bi 0.000 0.500 0.500 (multiplicity 2)

Calculated values
mass density: 10.30 g/cm3
D(E_F): 2.86 states/eV/atom

--- Q ---
The following is a DFT calculation (GGA-PBE) of a relaxed LiPuBi2 crystal.

Cell lengths 5.1172, 5.1172, 14.6651 Å; angles 90.00, 90.00, 120.00 degrees
Space group R-3m (No. 166, hexagonal axes)
Symmetry-distinct sites (fractional):
1 Li 0.0000 0.0000 0.0000 (multiplicity 3)
2 Pu 0.0000 0.0000 0.5000 (multiplicity 3)
3 Bi 0.0000 0.0000 0.2560 (multiplicity 6)

Calculated values
mass density: 10.02 g/cm3
D(E_F): 3.12 states/eV/atom

Going by the energies, P is most stable and the next is 8.7 kJ/mol of atoms up.

--- P ---
The following is a DFT calculation (GGA-PBE) of a relaxed LiPuBi2 crystal.

Cell lengths 4.6341, 4.6341, 19.9279 Å; angles 90.00, 90.00, 120.00 degrees
Space group R3m (No. 160, hexagonal axes)
Symmetry-distinct sites (fractional):
1 Li 0.0000 0.0000 0.0000 (multiplicity 3)
2 Pu 0.0000 0.0000 0.1795 (multiplicity 3)
3 Bi 0.0000 0.0000 0.5991 (multiplicity 3)
4 Bi 0.0000 0.0000 0.7554 (multiplicity 3)

Calculated values
mass density: 8.99 g/cm3
D(E_F): 3.91 states/eV/atom

--- Q ---
The following is a DFT calculation (GGA-PBE) of a relaxed LiPuBi2 crystal.

Cell lengths 3.446, 3.446, 9.080 Å; angles 90.00, 90.00, 90.00 degrees
Space group P4/mmm (No. 123)
Symmetry-distinct sites (fractional):
1 Li 0.000 0.000 0.000 (multiplicity 1)
2 Pu 0.000 0.000 0.500 (multiplicity 1)
3 Bi 0.500 0.500 0.234 (multiplicity 2)

Calculated values
mass density: 10.30 g/cm3
D(E_F): 2.07 states/eV/atom

--- R ---
The following is a DFT calculation (GGA-PBE) of a relaxed LiPuBi2 crystal.

Cell lengths 4.548, 4.548, 10.307 Å; angles 90.00, 90.00, 90.00 degrees
Space group P4/nmm (No. 129, origin choice 2)
Symmetry-distinct sites (fractional):
1 Li 0.250 0.750 0.000 (multiplicity 2)
2 Pu 0.250 0.250 0.255 (multiplicity 2)
3 Bi 0.250 0.250 0.830 (multiplicity 2)
4 Bi 0.250 0.750 0.500 (multiplicity 2)

Calculated values
mass density: 10.42 g/cm3
D(E_F): 3.52 states/eV/atom

Going by the energies, R is most stable and the next is 2.3 kJ/mol of atoms up.